Entry 1:
Material: Cu2Hg2Pt
Method: DFT, PBE
State: optimized geometry

a = 6.669 Å, b = 6.669 Å, c = 3.839 Å
α = 90.00°, β = 90.00°, γ = 90.00°
Sites, in units of the cell vectors:
Cu1 0.370 0.870 0.000
Cu2 0.870 0.630 0.000
Cu3 0.630 0.130 0.000
Cu4 0.130 0.370 0.000
Hg1 0.171 0.671 0.500
Hg2 0.671 0.829 0.500
Hg3 0.829 0.329 0.500
Hg4 0.329 0.171 0.500
Pt1 0.000 0.000 0.000
Pt2 0.500 0.500 0.000

Output
* N(E_F): 1.6 states/eV/f.u.
* symmetry: P4/mbm, No. 127
* total energy: -2.808 eV per atom
* calculated volume: 17.08 Å³/atom
* E_form: 0.1595 eV/atom
* total magnetization: 0.00 Bohr magnetons per cell


Entry 2:
Material: CuHg2Pt
Method: DFT, PBE
State: optimized geometry

a = 4.852 Å, b = 4.852 Å, c = 4.852 Å
α = 126.71°, β = 126.72°, γ = 78.71°
Sites, in units of the cell vectors:
Cu1 0.250 0.750 0.500
Hg1 0.000 0.000 0.000
Hg2 0.500 0.500 0.000
Pt1 0.750 0.250 0.500

Output
* N(E_F): 1.5 states/eV/f.u.
* excess energy over the best structure of this formula in the dataset: 0.037 eV per atom
* symmetry: I4/mmm, No. 139
* total energy: -2.568 eV per atom
* calculated volume: 17.75 Å³/atom
* E_form: 0.1168 eV/atom
* total magnetization: 0.00 Bohr magnetons per cell


Entry 3:
Material: Cu2HgPt
Method: DFT, PBE
State: optimized geometry

a = 5.159 Å, b = 5.159 Å, c = 5.159 Å
α = 144.50°, β = 129.79°, γ = 62.99°
Sites, in units of the cell vectors:
Cu1 0.989 0.989 0.000
Cu2 0.764 0.264 0.500
Hg1 0.509 0.509 0.000
Pt1 0.237 0.737 0.500

Output
* N(E_F): 1.8 states/eV/f.u.
* symmetry: Imm2, No. 44
* total energy: -3.599 eV per atom
* calculated volume: 15.14 Å³/atom
* E_form: 0.0350 eV/atom
* total magnetization: 0.00 Bohr magnetons per cell


Entry 4:
Material: CuHg2Pt
Method: DFT, PBE
State: optimized geometry

a = 3.066 Å, b = 3.067 Å, c = 7.763 Å
α = 90.00°, β = 90.00°, γ = 90.00°
Sites, in units of the cell vectors:
Cu1 0.500 0.500 0.727
Hg1 0.000 0.000 0.957
Hg2 0.500 0.500 0.281
Pt1 0.000 0.000 0.535

Output
* N(E_F): 1.5 states/eV/f.u.
* excess energy over the best structure of this formula in the dataset: 0.000 eV per atom
* symmetry: P4mm, No. 99
* total energy: -2.606 eV per atom
* calculated volume: 18.25 Å³/atom
* E_form: 0.0795 eV/atom
* total magnetization: 0.00 Bohr magnetons per cell


Entry 5:
Material: Cu2HgPt
Method: DFT, PBE
State: optimized geometry

a = 4.955 Å, b = 4.955 Å, c = 4.596 Å
α = 72.48°, β = 72.48°, γ = 34.43°
Sites, in units of the cell vectors:
Cu1 0.011 0.011 0.023
Cu2 0.735 0.735 0.736
Hg1 0.491 0.491 0.534
Pt1 0.263 0.263 0.207

Output
* N(E_F): 1.2 states/eV/f.u.
* symmetry: Cm, No. 8
* total energy: -3.613 eV per atom
* calculated volume: 15.13 Å³/atom
* E_form: 0.0207 eV/atom
* total magnetization: 0.00 Bohr magnetons per cell


Entry 6:
Material: Cu3HgPt
Method: DFT, PBE
State: optimized geometry

a = 4.737 Å, b = 4.737 Å, c = 4.737 Å
α = 90.00°, β = 90.00°, γ = 90.00°
Sites, in units of the cell vectors:
Cu1 0.000 0.500 0.000
Cu2 0.000 0.000 0.500
Cu3 0.500 0.000 0.000
Hg1 0.500 0.500 0.500
Pt1 0.000 0.000 0.000

Output
* N(E_F): 3.0 states/eV/f.u.
* excess energy over the best structure of this formula in the dataset: 0.000 eV per atom
* symmetry: Pm-3m, No. 221
* total energy: -3.030 eV per atom
* calculated volume: 21.26 Å³/atom
* E_form: 0.6957 eV/atom
* total magnetization: 0.00 Bohr magnetons per cell


Entry 7:
Material: CuHgPt2
Method: DFT, PBE
State: optimized geometry

a = 3.712 Å, b = 2.911 Å, c = 6.653 Å
α = 63.81°, β = 90.00°, γ = 90.00°
Sites, in units of the cell vectors:
Cu1 0.500 0.250 0.250
Hg1 0.500 0.750 0.750
Pt1 0.000 0.975 0.023
Pt2 0.000 0.525 0.477

Output
* N(E_F): 1.6 states/eV/f.u.
* symmetry: P2/m, No. 10
* total energy: -4.145 eV per atom
* calculated volume: 16.12 Å³/atom
* E_form: -0.0255 eV/atom
* total magnetization: 0.00 Bohr magnetons per cell


Entry 8:
Material: Cu2HgPt
Method: DFT, PBE
State: optimized geometry

a = 2.967 Å, b = 2.967 Å, c = 6.903 Å
α = 90.00°, β = 90.00°, γ = 90.00°
Sites, in units of the cell vectors:
Cu1 0.000 0.000 0.015
Cu2 0.500 0.500 0.212
Hg1 0.000 0.000 0.486
Pt1 0.500 0.500 0.787

Output
* N(E_F): 1.9 states/eV/f.u.
* symmetry: P4mm, No. 99
* total energy: -3.606 eV per atom
* calculated volume: 15.19 Å³/atom
* E_form: 0.0277 eV/atom
* total magnetization: 0.00 Bohr magnetons per cell


Entry 9:
Material: CuHgPt2
Method: DFT, PBE
State: optimized geometry

a = 5.454 Å, b = 5.454 Å, c = 5.454 Å
α = 148.70°, β = 129.07°, γ = 61.00°
Sites, in units of the cell vectors:
Cu1 0.507 0.507 0.000
Hg1 0.261 0.761 0.500
Pt1 0.995 0.995 0.000
Pt2 0.737 0.237 0.500

Output
* N(E_F): 2.1 states/eV/f.u.
* symmetry: Imm2, No. 44
* total energy: -4.059 eV per atom
* calculated volume: 16.21 Å³/atom
* E_form: 0.0604 eV/atom
* total magnetization: 0.00 Bohr magnetons per cell


Entry 10:
Material: CuHgPtRh
Method: DFT, PBE
State: optimized geometry

a = 4.481 Å, b = 4.481 Å, c = 4.481 Å
α = 60.00°, β = 60.00°, γ = 60.00°
Sites, in units of the cell vectors:
Pt1 0.250 0.250 0.250
Rh1 0.000 0.000 0.000
Hg1 0.750 0.750 0.750
Cu1 0.500 0.500 0.500

Output
* N(E_F): 6.4 states/eV/f.u.
* symmetry: F-43m, No. 216
* total energy: -4.301 eV per atom
* calculated volume: 15.90 Å³/atom
* E_form: 0.1470 eV/atom
* total magnetization: 0.00 Bohr magnetons per cell


Entry 11:
Material: CuHg2PtS
Method: DFT, PBE
State: optimized geometry

a = 5.379 Å, b = 4.486 Å, c = 5.379 Å
α = 90.00°, β = 90.00°, γ = 90.00°
Sites, in units of the cell vectors:
S1 0.000 0.500 0.000
Cu1 0.500 0.500 0.500
Hg1 0.000 0.000 0.500
Hg2 0.500 0.000 0.000
Pt1 0.000 0.000 0.000

Output
* N(E_F): 3.2 states/eV/f.u.
* symmetry: P4/mmm, No. 123
* total energy: -2.454 eV per atom
* calculated volume: 25.96 Å³/atom
* total magnetization: 0.00 Bohr magnetons per cell


Entry 12:
Material: Sc4Cu2HgPt
Method: DFT, PBE
State: optimized geometry

a = 4.730 Å, b = 4.730 Å, c = 8.181 Å
α = 73.20°, β = 73.20°, γ = 60.00°
Sites, in units of the cell vectors:
Sc1 0.381 0.381 0.858
Sc2 0.871 0.871 0.388
Sc3 0.129 0.129 0.612
Sc4 0.619 0.619 0.142
Cu1 0.746 0.746 0.762
Cu2 0.254 0.254 0.238
Hg1 0.000 0.000 0.000
Pt1 0.500 0.500 0.500

Output
* N(E_F): 4.5 states/eV/f.u.
* symmetry: R-3m, No. 166
* total energy: -5.552 eV per atom
* calculated volume: 18.68 Å³/atom
* E_form: -0.5694 eV/atom
* total magnetization: 0.00 Bohr magnetons per cell


Entry 13:
Material: TbCuHgPt
Method: DFT, PBE
State: optimized geometry

a = 4.790 Å, b = 4.790 Å, c = 4.790 Å
α = 60.00°, β = 60.00°, γ = 60.00°
Sites, in units of the cell vectors:
Cu1 0.750 0.750 0.750
Tb1 0.500 0.500 0.500
Hg1 0.000 0.000 0.000
Pt1 0.250 0.250 0.250

Output
* N(E_F): 2.1 states/eV/f.u.
* symmetry: F-43m, No. 216
* total energy: -4.246 eV per atom
* calculated volume: 19.43 Å³/atom
* E_form: -0.4784 eV/atom
* total magnetization: 0.00 Bohr magnetons per cell


Entry 14:
Material: Cu2HgTePt
Method: DFT, PBE
State: optimized geometry

a = 4.776 Å, b = 5.114 Å, c = 4.776 Å
α = 90.00°, β = 90.00°, γ = 90.00°
Sites, in units of the cell vectors:
Te1 0.500 0.500 0.500
Hg1 0.000 0.000 0.000
Pt1 0.000 0.500 0.000
Cu1 0.000 0.000 0.500
Cu2 0.500 0.000 0.000

Output
* N(E_F): 1.8 states/eV/f.u.
* symmetry: P4/mmm, No. 123
* total energy: -2.687 eV per atom
* calculated volume: 23.33 Å³/atom
* total magnetization: 0.00 Bohr magnetons per cell


Entry 15:
Material: ThCuHgPt
Method: DFT, PBE
State: optimized geometry

a = 4.901 Å, b = 4.901 Å, c = 4.901 Å
α = 60.00°, β = 60.00°, γ = 60.00°
Sites, in units of the cell vectors:
Pt1 0.000 0.000 0.000
Hg1 0.750 0.750 0.750
Th1 0.250 0.250 0.250
Cu1 0.500 0.500 0.500

Output
* N(E_F): 3.1 states/eV/f.u.
* symmetry: F-43m, No. 216
* total energy: -4.929 eV per atom
* calculated volume: 20.81 Å³/atom
* E_form: -0.4647 eV/atom
* total magnetization: 0.00 Bohr magnetons per cell


Entry 16:
Material: TmCuHgPt
Method: DFT, PBE
State: optimized geometry

a = 4.736 Å, b = 4.736 Å, c = 4.736 Å
α = 60.00°, β = 60.00°, γ = 60.00°
Sites, in units of the cell vectors:
Tm1 0.000 0.000 0.000
Hg1 0.500 0.500 0.500
Pt1 0.750 0.750 0.750
Cu1 0.250 0.250 0.250

Output
* N(E_F): 1.9 states/eV/f.u.
* symmetry: F-43m, No. 216
* total energy: -4.228 eV per atom
* calculated volume: 18.78 Å³/atom
* E_form: -0.5009 eV/atom
* total magnetization: 0.00 Bohr magnetons per cell


Entry 17:
Material: YCu2HgPt
Method: DFT, PBE
State: optimized geometry

a = 5.230 Å, b = 5.154 Å, c = 5.230 Å
α = 90.00°, β = 90.00°, γ = 90.00°
Sites, in units of the cell vectors:
Y1 0.000 0.000 0.000
Cu1 0.000 0.000 0.500
Cu2 0.500 0.000 0.000
Hg1 0.500 0.500 0.500
Pt1 0.000 0.500 0.000

Output
* N(E_F): 3.9 states/eV/f.u.
* symmetry: P4/mmm, No. 123
* total energy: -3.259 eV per atom
* calculated volume: 28.20 Å³/atom
* E_form: 0.9405 eV/atom
* total magnetization: 0.00 Bohr magnetons per cell


Entry 18:
Material: Pu2Cu2Hg
Method: DFT, PBE
State: optimized geometry

a = 3.789 Å, b = 4.187 Å, c = 7.206 Å
α = 106.89°, β = 90.00°, γ = 90.00°
Sites, in units of the cell vectors:
Pu1 0.500 0.628 0.256
Pu2 0.500 0.372 0.744
Cu1 0.000 0.202 0.404
Cu2 0.000 0.798 0.596
Hg1 0.000 0.000 0.000

Output
* N(E_F): 20.9 states/eV/f.u.
* symmetry: Cmmm, No. 65
* total energy: -7.442 eV per atom
* calculated volume: 21.88 Å³/atom
* E_form: -0.0101 eV/atom
* total magnetization: 11.66 Bohr magnetons per cell


Entry 19:
Material: Pu2CuHg
Method: DFT, PBE
State: optimized geometry

a = 3.251 Å, b = 3.251 Å, c = 8.613 Å
α = 90.00°, β = 90.00°, γ = 90.00°
Sites, in units of the cell vectors:
Hg1 0.500 0.500 0.500
Cu1 0.500 0.500 0.000
Pu1 0.000 0.000 0.777
Pu2 0.000 0.000 0.223

Output
* N(E_F): 12.9 states/eV/f.u.
* excess energy over the best structure of this formula in the dataset: 0.000 eV per atom
* symmetry: P4/mmm, No. 123
* total energy: -8.265 eV per atom
* calculated volume: 22.76 Å³/atom
* E_form: 0.0006 eV/atom
* total magnetization: 11.71 Bohr magnetons per cell


Entry 20:
Material: Pu2CuHg
Method: DFT, PBE
State: optimized geometry

a = 3.187 Å, b = 5.471 Å, c = 5.471 Å
α = 90.00°, β = 90.00°, γ = 90.00°
Sites, in units of the cell vectors:
Hg1 0.500 0.000 0.000
Cu1 0.500 0.500 0.500
Pu1 0.000 0.000 0.500
Pu2 0.000 0.500 0.000

Output
* N(E_F): 15.1 states/eV/f.u.
* excess energy over the best structure of this formula in the dataset: 0.077 eV per atom
* symmetry: P4/mmm, No. 123
* total energy: -8.187 eV per atom
* calculated volume: 23.85 Å³/atom
* E_form: 0.0781 eV/atom
* total magnetization: 11.67 Bohr magnetons per cell